PrZn after structural relaxation. Source: the Open Quantum Materials Database, functional PBE. Values from VASP.

Structure (Quantum ESPRESSO input):
```
&SYSTEM
  ibrav = 0, nat = 8, ntyp = 2
/
ATOMIC_SPECIES
Pr 140.91 Pr.upf
Zn 65.41 Zn.upf
ATOMIC_POSITIONS crystal
Pr 0.0000 0.0000 0.0000
Pr 0.3632 0.1816 0.5000
Pr 0.8184 0.1816 0.5000
Pr 0.8184 0.6368 0.5000
Zn 0.0785 0.5393 0.0000
Zn 0.3333 0.6667 0.5000
Zn 0.4607 0.5393 0.0000
Zn 0.4607 0.9215 0.0000
CELL_PARAMETERS angstrom
7.0549 0.0000 0.0000
-3.5274 6.1097 0.0000
0.0000 0.0000 4.5615
```

Output
calculated formation energy	0.05	eV/atom
space group	P-6m2
crystal system	hexagonal